Entry from Alexandria: a relaxed LaTbNd2Dy2 crystal (PBE-GGA).

Computed properties:
E_tot = -4.57 eV/atom
energy of formation from the pure elements = 0.9 eV per formula unit
space-group type = Pnnm

Lattice parameters (Å, degrees): 7.021 16.517 3.544 90.00 90.00 90.00
Atoms (fractional coordinates):
La1 0.000 0.000 0.000
La2 0.500 0.500 0.500
Tb1 0.000 0.500 0.500
Tb2 0.500 0.000 0.000
Nd1 0.246 0.340 0.000
Nd2 0.254 0.840 0.500
Nd3 0.746 0.160 0.500
Nd4 0.754 0.660 0.000
Dy1 0.249 0.154 0.500
Dy2 0.251 0.654 0.000
Dy3 0.749 0.346 0.000
Dy4 0.751 0.846 0.500